1.
Computed, not measured: a geometry-optimized DyGaPd structure at the PBEsol level of DFT.

Lattice parameters (Å, degrees): 4.4058 6.8225 7.5190 90.00 90.00 90.00
Positions (direct):
Ga  0.2500  0.8259  0.0763
Dy  0.2500  0.4822  0.8026
Pd  0.2500  0.7188  0.4037
Ga  0.7500  0.6741  0.5763
Pd  0.2500  0.2188  0.0963
Ga  0.7500  0.1741  0.9237
Dy  0.7500  0.5178  0.1974
Pd  0.7500  0.7812  0.9037
Pd  0.7500  0.2812  0.5963
Ga  0.2500  0.3259  0.4237
Dy  0.7500  0.0178  0.3026
Dy  0.2500  0.9822  0.6974

Summary:
- Crystal system: orthorhombic
- Formation enthalpy at 0 K: -0.92 eV/atom
- Space group: Pnma

2.
Computed, not measured: a geometry-optimized Tl3TePt structure at the PBEsol level of DFT.

Lattice parameters (Å, degrees): 5.2696 5.2696 5.2696 90.00 90.00 90.00
Positions (direct):
Te  0.5000  0.5000  0.5000
Tl  0.0000  0.5000  0.0000
Tl  0.5000  0.0000  0.0000
Tl  0.0000  0.0000  0.5000
Pt  0.0000  0.0000  0.0000

Summary:
- Formation energy without anion corrections: -108 meV/atom
- Crystal system: cubic
- Space group: Pm-3m

3.
Computed, not measured: a geometry-optimized ZrRh3 structure at the PBEsol level of DFT.

Lattice parameters (Å, degrees): 4.4350 4.8550 5.5752 90.00 90.00 90.00
Positions (direct):
Zr  0.0000  0.6607  0.0000
Rh  0.0000  0.6898  0.5000
Rh  0.0000  0.1626  0.7547
Rh  0.0000  0.1626  0.2453
Zr  0.5000  0.3393  0.5000
Rh  0.5000  0.3102  0.0000
Rh  0.5000  0.8374  0.2547
Rh  0.5000  0.8374  0.7453

Summary:
- Crystal system: orthorhombic
- Formation enthalpy at 0 K: -0.59 eV/atom
- Space group: Pmmn

4.
Computed, not measured: a geometry-optimized Te2OsRh structure at the PBEsol level of DFT.

Lattice parameters (Å, degrees): 4.7185 4.7185 4.7185 60.00 60.00 60.00
Positions (direct):
Rh  0.2500  0.2500  0.2500
Os  0.5000  0.5000  0.5000
Te  0.7500  0.7500  0.7500
Te  0.0000  0.0000  0.0000

Summary:
- Formation energy without anion corrections: 1016 meV/atom
- Polymorph energy (0 for the lowest one): 0.568 eV per atom
- Crystal system: cubic
- Space group: F-43m

5.
Computed, not measured: a geometry-optimized Sc3RuC4 structure at the PBEsol level of DFT.

Lattice parameters (Å, degrees): 3.2845 4.4697 6.7394 109.37 104.10 90.00
Positions (direct):
C  0.3716  0.2114  0.7431
Sc  0.0000  0.5000  0.0000
Sc  0.1900  0.1900  0.3800
Ru  0.5000  0.0000  0.0000
Sc  0.8100  0.8100  0.6200
C  0.6284  0.7886  0.2569
C  0.6284  0.4682  0.2569
C  0.3716  0.5318  0.7431

Summary:
- Crystal system: orthorhombic
- Formation enthalpy at 0 K: -0.53 eV/atom
- Space group: Immm

6.
Computed, not measured: a geometry-optimized Na4MnO4 structure at the PBEsol level of DFT.

Lattice parameters (Å, degrees): 5.5653 5.8165 8.4672 87.65 70.87 68.24
Last column: magnetic moment on the atom in μB.
Positions (direct):
Na  0.7506  0.7337  0.1689  0.01
Mn  0.1015  0.2203  0.2474  2.49
Na  0.9277  0.2703  0.6161  0.01
Na  0.2494  0.2663  0.8311  0.01
Na  0.7100  0.2467  0.0242  0.00
O  0.0487  0.9788  0.8021  0.07
O  0.6887  0.9921  0.6493  0.06
Mn  0.8985  0.7797  0.7526  2.49
O  0.1770  0.5262  0.6189  0.06
O  0.3113  0.0079  0.3507  0.06
Na  0.5496  0.2252  0.4333  0.00
O  0.2419  0.3966  0.0936  0.06
O  0.9513  0.0212  0.1979  0.07
Na  0.2900  0.7533  0.9758  0.00
O  0.8230  0.4738  0.3811  0.06
Na  0.0723  0.7297  0.3839  0.01
O  0.7581  0.6034  0.9064  0.06
Na  0.4504  0.7748  0.5667  0.00

Summary:
- Formation energy without anion corrections: -1547 meV/atom
- Polymorph energy (0 for the lowest one): 0.000 eV per atom
- Crystal system: triclinic
- Space group: P-1

7.
Computed, not measured: a geometry-optimized MgRe2Se structure at the PBEsol level of DFT.

Lattice parameters (Å, degrees): 2.7576 2.7576 9.1877 90.00 90.00 115.08
Positions (direct):
Se  0.5000  0.5000  0.5000
Re  0.0000  0.0000  0.7463
Re  0.0000  0.0000  0.2537
Mg  0.5000  0.5000  0.0000

Summary:
- Formation energy without anion corrections: 743 meV/atom
- Polymorph energy (0 for the lowest one): 0.239 eV per atom
- Crystal system: orthorhombic
- Space group: Cmmm

8.
Computed, not measured: a geometry-optimized Ga2AsRh5 structure at the PBEsol level of DFT.

Lattice parameters (Å, degrees): 4.0194 5.3704 10.1092 90.00 90.00 90.00
Positions (direct):
Rh  0.0000  0.1357  0.2738
Ga  0.5000  0.6210  0.6471
Rh  0.0000  0.8643  0.7262
Rh  0.5000  0.1673  0.6042
Rh  0.5000  0.6673  0.8958
Ga  0.5000  0.1210  0.8529
As  0.0000  0.5000  0.0000
Rh  0.0000  0.0000  0.0000
Ga  0.5000  0.8790  0.1471
Rh  0.0000  0.3643  0.7738
Rh  0.0000  0.6357  0.2262
Ga  0.5000  0.3790  0.3529
Rh  0.0000  0.5000  0.5000
Rh  0.5000  0.8327  0.3958
As  0.0000  0.0000  0.5000
Rh  0.5000  0.3327  0.1042

Summary:
- Crystal system: orthorhombic
- Formation enthalpy at 0 K: -0.54 eV/atom
- Space group: Pbam

9.
Computed, not measured: a geometry-optimized UCuSi2Ni structure at the PBEsol level of DFT.

Lattice parameters (Å, degrees): 3.8987 3.8987 5.5490 110.57 110.57 90.00
Last column: magnetic moment on the atom in μB.
Positions (direct):
Si  0.3796  0.3796  0.7593  -0.02
Cu  0.7500  0.2500  0.5000  0.01
U  0.0000  0.0000  0.0000  1.67
Ni  0.2500  0.7500  0.5000  -0.05
Si  0.6204  0.6204  0.2407  -0.02

Summary:
- Formation energy without anion corrections: -460 meV/atom
- Crystal system: tetragonal
- Space group: I-4m2

10.
Computed, not measured: a geometry-optimized LaAs2 structure at the PBEsol level of DFT.

Lattice parameters (Å, degrees): 8.9894 9.5936 9.0296 118.05 90.04 117.91
Positions (direct):
As  0.7989  0.2541  0.5233
As  0.7556  0.4997  0.0442
As  0.2576  0.7617  0.6892
As  0.2008  0.2540  0.3332
As  0.0449  0.7459  0.2692
La  0.4099  0.0834  0.3345
La  0.6112  0.0844  0.7298
As  0.2095  0.9590  0.9610
La  0.0268  0.9156  0.6453
As  0.6408  0.7511  0.4658
As  0.9959  0.2383  0.9275
As  0.8699  0.7464  0.8741
As  0.3897  0.2489  0.7147
La  0.0674  0.5614  0.8864
As  0.7559  0.5003  0.5445
As  0.4468  0.7460  0.0791
As  0.3837  0.7487  0.3480
La  0.8265  0.9166  0.2510
La  0.0060  0.4386  0.3250
As  0.6235  0.2536  0.1277
As  0.7506  0.0410  0.0021
La  0.4845  0.6028  0.7014
As  0.1350  0.2513  0.5993
La  0.3817  0.3972  0.0986

Summary:
- Crystal system: monoclinic
- Formation enthalpy at 0 K: -1.07 eV/atom
- Space group: Cc

11.
Computed, not measured: a geometry-optimized LiMgCr2 structure at the PBEsol level of DFT.

Lattice parameters (Å, degrees): 2.5660 4.5332 4.8668 90.00 108.27 90.00
Positions (direct):
Li  0.5000  0.5000  0.0000
Cr  0.2378  0.0000  0.2092
Cr  0.7622  0.0000  0.7908
Mg  0.0000  0.5000  0.5000

Summary:
- Crystal system: monoclinic
- Formation enthalpy at 0 K: 0.61 eV/atom
- Space group: P2/m

12.
Computed, not measured: a geometry-optimized AsWSe structure at the PBEsol level of DFT.

Lattice parameters (Å, degrees): 4.3419 4.3419 4.3419 60.00 60.00 60.00
Last column: magnetic moment on the atom in μB.
Positions (direct):
W  0.2500  0.2500  0.2500  1.19
As  0.0000  0.0000  0.0000  -0.02
Se  0.5000  0.5000  0.5000  -0.02

Summary:
- Formation energy without anion corrections: 361 meV/atom
- Crystal system: cubic
- Space group: F-43m

13.
Computed, not measured: a geometry-optimized BaSr2Li structure at the PBEsol level of DFT.

Lattice parameters (Å, degrees): 4.6978 6.3091 6.4191 90.00 90.00 90.00
Positions (direct):
Sr  0.0000  0.0000  0.0000
Li  0.0000  0.5000  0.5000
Ba  0.5000  0.0000  0.5000
Sr  0.5000  0.5000  0.0000

Summary:
- Polymorph energy (0 for the lowest one): 0.058 eV per atom
- Crystal system: orthorhombic
- Formation enthalpy at 0 K: 0.08 eV/atom
- Space group: Pmmm

14.
Computed, not measured: a geometry-optimized TmAu4 structure at the PBEsol level of DFT.

Lattice parameters (Å, degrees): 4.1053 5.1200 5.1200 80.75 66.37 66.37
Positions (direct):
Au  0.3995  0.7997  0.4014
Au  0.6005  0.2003  0.5986
Au  0.8009  0.5986  0.7997
Tm  0.0000  0.0000  0.0000
Au  0.1991  0.4014  0.2003

Summary:
- Crystal system: tetragonal
- Formation enthalpy at 0 K: -0.63 eV/atom
- Space group: I4/m

15.
Computed, not measured: a geometry-optimized Cu2PdAuSe structure at the PBEsol level of DFT.

Lattice parameters (Å, degrees): 4.5315 4.5315 4.9294 90.00 90.00 90.00
Positions (direct):
Cu  0.5000  0.0000  0.0000
Pd  0.0000  0.0000  0.0000
Au  0.0000  0.0000  0.5000
Se  0.5000  0.5000  0.5000
Cu  0.0000  0.5000  0.0000

Summary:
- Formation energy without anion corrections: 979 meV/atom
- Crystal system: tetragonal
- Space group: P4/mmm

16.
Computed, not measured: a geometry-optimized Cd2GePd2 structure at the PBEsol level of DFT.

Lattice parameters (Å, degrees): 4.2050 6.4604 6.4604 90.00 90.00 90.00
Positions (direct):
Pd  0.0000  0.8470  0.6530
Pd  0.0000  0.3470  0.8470
Cd  0.5000  0.6556  0.8444
Pd  0.0000  0.6530  0.1530
Ge  0.0000  0.5000  0.5000
Cd  0.5000  0.3444  0.1556
Cd  0.5000  0.1556  0.6556
Ge  0.0000  0.0000  0.0000
Pd  0.0000  0.1530  0.3470
Cd  0.5000  0.8444  0.3444

Summary:
- Crystal system: tetragonal
- Formation enthalpy at 0 K: -0.31 eV/atom
- Space group: P4/mbm

17.
Computed, not measured: a geometry-optimized Mo3HAu structure at the PBEsol level of DFT.

Lattice parameters (Å, degrees): 3.9878 3.9878 3.9878 90.00 90.00 90.00
Positions (direct):
Mo  0.0000  0.0000  0.5000
Mo  0.0000  0.5000  0.0000
Mo  0.5000  0.0000  0.0000
Au  0.5000  0.5000  0.5000
H  0.0000  0.0000  0.0000

Summary:
- Crystal system: cubic
- VASP energy: -8.449 eV/atom
- Space group: Pm-3m

18.
Computed, not measured: a geometry-optimized Be2FeReS structure at the PBEsol level of DFT.

Lattice parameters (Å, degrees): 3.9126 3.9126 4.0452 90.00 90.00 90.00
Last column: magnetic moment on the atom in μB.
Positions (direct):
Fe  0.0000  0.0000  0.5000  1.85
Re  0.5000  0.5000  0.5000  0.93
S  0.0000  0.0000  0.0000  0.05
Be  0.0000  0.5000  0.0000  -0.01
Be  0.5000  0.0000  0.0000  -0.01

Summary:
- Formation energy without anion corrections: 917 meV/atom
- Crystal system: tetragonal
- Space group: P4/mmm

19.
Computed, not measured: a geometry-optimized HRh2W structure at the PBEsol level of DFT.

Lattice parameters (Å, degrees): 4.1417 4.1417 4.1417 60.00 60.00 60.00
Positions (direct):
W  0.5000  0.5000  0.5000
H  0.0000  0.0000  0.0000
Rh  0.2500  0.2500  0.2500
Rh  0.7500  0.7500  0.7500

Summary:
- Crystal system: cubic
- VASP energy: -7.883 eV/atom
- Space group: Fm-3m

20.
Computed, not measured: a geometry-optimized KTi2NiPd structure at the PBEsol level of DFT.

Lattice parameters (Å, degrees): 4.7649 4.7649 4.8899 90.00 90.00 90.00
Last column: magnetic moment on the atom in μB.
Positions (direct):
Ti  0.5000  0.0000  0.0000  0.82
Ni  0.0000  0.0000  0.5000  -0.16
Pd  0.0000  0.0000  0.0000  0.02
Ti  0.0000  0.5000  0.0000  0.82
K  0.5000  0.5000  0.5000  0.03

Summary:
- Crystal system: tetragonal
- Formation enthalpy at 0 K: 0.83 eV/atom
- Space group: P4/mmm

21.
Computed, not measured: a geometry-optimized FeAgSb2 structure at the PBEsol level of DFT.

Lattice parameters (Å, degrees): 3.2153 3.2153 7.7297 90.00 90.00 90.00
Last column: magnetic moment on the atom in μB.
Positions (direct):
Sb  0.5000  0.5000  0.2985  0.02
Ag  0.0000  0.0000  0.5375  0.02
Fe  0.5000  0.5000  0.7423  2.31
Sb  0.0000  0.0000  0.9217  -0.06

Summary:
- Formation energy without anion corrections: 263 meV/atom
- Polymorph energy (0 for the lowest one): 0.116 eV per atom
- Crystal system: tetragonal
- Space group: P4mm

22.
Computed, not measured: a geometry-optimized Sc2CdNi structure at the PBEsol level of DFT.

Lattice parameters (Å, degrees): 3.3213 3.3213 8.4480 78.66 78.66 60.00
Positions (direct):
Sc  0.2655  0.2655  0.2036
Sc  0.7345  0.7345  0.7964
Cd  0.5000  0.5000  0.5000
Ni  0.0000  0.0000  0.0000

Summary:
- Crystal system: trigonal
- Formation enthalpy at 0 K: -0.18 eV/atom
- Space group: R-3m

23.
Computed, not measured: a geometry-optimized Li2MoO4 structure at the PBEsol level of DFT.

Lattice parameters (Å, degrees): 8.8444 8.8444 8.8444 107.89 107.89 107.89
Positions (direct):
O  0.4583  0.1407  0.1512
Li  0.7021  0.1061  0.9333
O  0.7502  0.0802  0.4249
O  0.0802  0.4249  0.7502
O  0.1407  0.1512  0.4583
O  0.1875  0.5281  0.4928
Li  0.6291  0.2246  0.3915
Li  0.2979  0.8939  0.0667
Li  0.0667  0.2979  0.8939
O  0.5281  0.4928  0.1875
O  0.5417  0.8593  0.8488
O  0.5072  0.8125  0.4719
O  0.8593  0.8488  0.5417
O  0.4928  0.1875  0.5281
Mo  0.5553  0.7308  0.9659
Li  0.3915  0.6291  0.2246
Li  0.1061  0.9333  0.7021
Mo  0.9659  0.5553  0.7308
O  0.2498  0.9198  0.5751
Mo  0.0341  0.4447  0.2692
O  0.8125  0.4719  0.5072
Li  0.3709  0.7754  0.6085
O  0.4719  0.5072  0.8125
O  0.9198  0.5751  0.2498
Li  0.2246  0.3915  0.6291
Mo  0.7308  0.9659  0.5553
O  0.1512  0.4583  0.1407
O  0.1831  0.8814  0.2211
O  0.4249  0.7502  0.0802
O  0.8814  0.2211  0.1831
Mo  0.4447  0.2692  0.0341
O  0.1186  0.7789  0.8169
O  0.2211  0.1831  0.8814
Li  0.6085  0.3709  0.7754
Li  0.8939  0.0667  0.2979
O  0.5751  0.2498  0.9198
O  0.8169  0.1186  0.7789
Li  0.9333  0.7021  0.1061
Li  0.7754  0.6085  0.3709
O  0.8488  0.5417  0.8593
O  0.7789  0.8169  0.1186
Mo  0.2692  0.0341  0.4447

Summary:
- Formation energy without anion corrections: -2176 meV/atom
- Crystal system: trigonal
- Space group: R-3